Below is Tm8Co2As after structural relaxation, with properties calculated at the PBE-GGA level.

POSCAR file:
```
Tm8Co2As
1.0
5.891 0.134 -0.941
-1.828 6.488 -2.719
-0.084 -0.099 7.267
Tm Co As
8 2 1
Cartesian
2.789 2.292 -0.928
3.255 0.534 1.736
0.354 2.438 1.547
5.275 1.515 4.133
4.309 5.166 -1.401
3.455 4.195 2.164
0.460 6.003 1.886
0.935 4.208 4.606
1.634 4.512 -0.049
2.287 2.046 3.690
0.969 0.060 -0.129
```

Calculated total energy: -5.25 eV/atom
DFT formation energy: -280 meV per atom
Symmetry: Cm



Below is ErTh2Ni2 after structural relaxation, with properties calculated at the PBE-GGA level.

POSCAR file:
```
ErTh2Ni2
1.0
5.993 -0.297 -1.265
-1.563 5.793 -1.265
-2.681 -3.326 4.939
Er Th Ni
1 2 2
Cartesian
0.000 0.000 0.000
-1.458 2.965 1.204
3.207 -0.795 1.204
1.703 2.113 -0.324
0.046 0.057 2.732
```

Calculated total energy: -6.51 eV/atom
DFT formation energy: -318 meV per atom
Symmetry: Immm



Below is BaGe3Pb after structural relaxation, with properties calculated at the PBE-GGA level.

POSCAR file:
```
BaGe3Pb
1.0
-4.058 -4.099 0.477
3.157 -2.652 4.063
-2.659 3.109 4.095
Pb Ge Ba
1 3 1
Cartesian
-1.780 -1.821 4.318
1.578 -1.326 2.031
-1.329 1.554 2.048
-2.029 -2.050 0.239
0.000 0.000 0.000
```

Calculated total energy: -2.77 eV/atom
DFT formation energy: 1125 meV per atom
Symmetry: Pm-3m



Below is SrSbO3 after structural relaxation, with properties calculated at the PBE-GGA level.

POSCAR file:
```
SrSbO3
1.0
4.397 0.000 0.000
0.000 4.397 0.000
0.000 0.000 4.397
Sb O Sr
1 3 1
Cartesian
2.199 2.199 2.199
0.000 2.199 0.000
0.000 0.000 2.199
2.199 0.000 0.000
0.000 0.000 0.000
```

Energy relative to the elements, uncorrected: -34.0 kJ per mole of atoms
Calculated total energy: -4.49 eV/atom
Symmetry: Pm-3m



Below is KUGa2S6 after structural relaxation, with properties calculated at the PBE-GGA level.

POSCAR file:
```
KUGa2S6
1.0
-5.407 -0.370 -4.710
-3.998 -7.986 1.739
-7.020 3.902 4.275
K U Ga S
2 2 4 12
Cartesian
-5.589 -7.139 0.762
-10.836 2.685 0.543
-7.513 0.430 2.377
-8.913 -4.884 -1.072
-9.583 -3.989 2.213
-3.644 -2.227 1.031
-6.842 -0.465 -0.908
-12.781 -2.227 0.274
-6.380 2.824 2.226
-9.595 1.772 3.325
-10.045 -7.278 -0.921
-6.830 -6.226 -2.020
-7.838 -5.035 1.215
-4.609 -4.248 1.375
-8.587 0.581 0.090
-11.816 -0.206 -0.070
-8.734 -1.949 3.087
-5.414 -0.645 0.931
-7.691 -2.505 -1.782
-11.012 -3.809 0.374
```

Energy relative to the elements, uncorrected: -89.1 kJ per mole of atoms
Calculated total energy: -5.24 eV/atom
Symmetry: C2/c



Below is Tc2IrSe after structural relaxation, with properties calculated at the PBE-GGA level.

POSCAR file:
```
Tc2IrSe
1.0
2.945 -0.001 0.000
0.001 2.945 0.000
0.000 0.000 6.767
Ir Se Tc
1 1 2
Cartesian
1.473 1.472 1.692
1.473 1.472 5.075
0.000 0.000 6.639
0.000 0.000 3.512
```

Energy relative to the elements, uncorrected: 15.0 kJ per mole of atoms
Calculated total energy: -8.11 eV/atom
Symmetry: P4/mmm



calculated total energy of number 4 (SrSbO3)? -4.49 eV/atom



What is the calculated total energy in the fifth record? -5.24 eV/atom